Material: BaMnO3
Method: DFT, PBE with a Hubbard U
State: relaxed

total magnetic moment: 0.600 μB per atom
crystal system: hexagonal
Fermi-level density of states: 0.000 states/eV per cell
DFT total energy: -6.8935 eV per atom

Cell lengths 4.9834, 5.7917, 5.7917 Å; angles 120.00, 90.03, 89.97 degrees
Each line ends with the local moment (μB).
Element x y z (fractional)
1 O 0.7594 0.1482 0.8518  -0.06
2 O 0.7597 0.1483 0.2965  -0.06
3 O 0.2595 0.2965 0.1483  -0.06
4 Ba 0.7592 0.6667 0.3333  0.00
5 Mn 0.0096 0.0000 0.0000  3.13
6 O 0.2598 0.8518 0.1482  -0.06
7 Ba 0.2592 0.3333 0.6667  0.00
8 O 0.2595 0.8517 0.7035  -0.06
9 Mn 0.5096 0.0000 0.0000  3.13
10 O 0.7597 0.7035 0.8517  -0.06